TlRh2N | PBE | relaxed

Structure (extended XYZ):
```
4
Lattice="0.542 -4.375 0.041 -3.330 -2.622 1.210 -2.039 -2.501 -3.003" Properties=species:S:1:pos:R:3 pbc="T T T"
Tl -2.414 -4.749 -0.876
Rh -1.207 -2.375 -0.438
Rh -3.621 -7.124 -1.314
N 0.000 0.000 0.000
```

Calculated values
Uncorrected energy = -5.06 eV per atom



NaHfV2Mo | PBE | relaxed

Structure (extended XYZ):
```
5
Lattice="4.498 0.000 0.000 0.000 4.994 0.000 0.000 0.000 4.498" Properties=species:S:1:pos:R:3 pbc="T T T"
Na 0.000 2.497 0.000
Mo 0.000 0.000 0.000
Hf 2.249 2.497 2.249
V 0.000 0.000 2.249
V 2.249 0.000 0.000
```

Calculated values
Formation enthalpy at 0 K = 1311.6 meV per atom



ErSnTe2 | PBE | relaxed

Structure (extended XYZ):
```
8
Lattice="4.937 0.000 0.000 0.000 4.065 0.000 0.000 -2.032 12.080" Properties=species:S:1:pos:R:3 pbc="T T T"
Er 1.234 0.000 10.820
Er 3.703 2.032 1.260
Sn 1.234 0.000 4.527
Sn 3.703 2.032 7.553
Te 3.703 2.032 4.359
Te 1.234 0.000 7.721
Te 3.703 2.032 10.731
Te 1.234 0.000 1.349
```

Calculated values
Uncorrected energy = -4.38 eV per atom



TbThCuRh | PBE | relaxed

Structure (extended XYZ):
```
4
Lattice="3.905 0.000 0.000 0.000 4.078 0.000 -1.953 0.000 5.751" Properties=species:S:1:pos:R:3 pbc="T T T"
Tb 0.000 0.000 1.658
Th 1.953 2.039 4.264
Cu 1.953 2.039 0.895
Rh 0.000 0.000 4.685
```

Calculated values
Formation enthalpy at 0 K = -593.3 meV per atom



Ba3Cd7In2 | PBE | relaxed

Structure (extended XYZ):
```
12
Lattice="4.566 0.000 0.000 0.000 5.578 -2.782 0.000 -7.948 19.217" Properties=species:S:1:pos:R:3 pbc="T T T"
Ba 2.283 2.789 -1.391
Ba 2.283 2.318 4.702
Ba 2.283 -4.688 11.732
Cd 4.565 -4.858 14.785
Cd 0.000 -2.036 9.997
Cd 0.000 0.000 0.000
Cd 0.000 2.488 1.649
Cd 2.283 -1.175 4.664
Cd 2.283 -1.194 11.771
Cd 4.566 -0.333 6.438
In 0.000 -2.179 13.467
In 4.566 -0.191 2.967
```

Calculated values
Formation enthalpy at 0 K = -250.8 meV per atom



LaPm12Cd3 | PBE | relaxed

Structure (extended XYZ):
```
16
Lattice="-3.850 -2.914 1.246 0.603 -2.598 -4.213 12.651 -12.615 9.588" Properties=species:S:1:pos:R:3 pbc="T T T"
La 0.000 0.000 0.000
Pm -1.623 -2.756 -1.484
Pm 1.626 -5.996 0.979
Pm 4.702 -9.063 3.310
Pm 7.778 -12.130 5.641
Pm -0.241 -3.135 1.899
Pm 2.862 -6.230 4.251
Pm 5.939 -9.299 6.583
Pm 9.043 -12.394 8.935
Pm 1.985 -2.977 -0.831
Pm 5.089 -6.072 1.521
Pm 8.166 -9.141 3.853
Pm 11.270 -12.235 6.206
Cd 3.266 -3.256 2.475
Cd 6.326 -6.308 4.794
Cd 9.386 -9.359 7.113
```

Calculated values
Formation enthalpy at 0 K = -63.5 meV per atom



In2AsBr | PBE | relaxed

Structure (extended XYZ):
```
4
Lattice="-0.119 3.274 2.818 -2.944 2.001 -2.449 -4.397 -2.766 3.026" Properties=species:S:1:pos:R:3 pbc="T T T"
As -1.648 -1.037 1.135
Br -5.379 0.218 2.832
In -3.848 -2.420 2.649
In -3.181 1.600 1.320
```

Calculated values
Uncorrected energy = -3.19 eV per atom



Tb14NdTl | PBE | relaxed

Structure (extended XYZ):
```
16
Lattice="6.946 0.076 0.000 -1.865 6.691 0.000 0.000 0.000 10.901" Properties=species:S:1:pos:R:3 pbc="T T T"
Tb -0.844 5.925 0.000
Tb 3.092 2.969 0.000
Tb 0.701 2.593 5.450
Tb -0.362 2.388 0.000
Tb 2.787 5.370 5.450
Tb 2.687 6.448 0.000
Tb 2.567 1.166 8.116
Tb 2.567 1.166 2.784
Tb 4.677 3.977 8.116
Tb 4.677 3.977 2.784
Tb 1.150 4.428 8.448
Tb 1.150 4.428 2.453
Tb 6.115 0.699 7.851
Tb 6.115 0.699 3.050
Nd -0.636 5.769 5.450
Tl 4.205 2.134 5.450
```

Calculated values
Formation enthalpy at 0 K = -1.9 meV per atom



Nd2TmNi9 | PBE | relaxed

Structure (extended XYZ):
```
12
Lattice="4.983 0.000 0.000 2.491 4.315 0.000 2.491 1.438 8.274" Properties=species:S:1:pos:R:3 pbc="T T T"
Nd 7.474 4.315 3.416
Nd 2.491 1.438 4.858
Tm 0.000 0.000 0.000
Ni 7.474 4.315 8.262
Ni 2.491 1.438 0.012
Ni 4.983 2.877 4.137
Ni 3.740 2.159 1.972
Ni 6.225 2.159 1.972
Ni 4.983 4.312 1.972
Ni 6.225 3.594 6.301
Ni 4.983 1.442 6.301
Ni 3.740 3.594 6.301
```

Calculated values
Formation enthalpy at 0 K = -342.6 meV per atom



IrC3 | PBE | relaxed

Structure (extended XYZ):
```
4
Lattice="-2.926 -1.262 -0.890 1.443 -2.913 -0.616 -0.548 -0.933 3.127" Properties=species:S:1:pos:R:3 pbc="T T T"
C 0.448 -1.923 1.255
C -1.737 -1.098 1.119
C -0.741 -2.087 -0.753
Ir 0.000 0.000 0.000
```

Calculated values
Formation enthalpy at 0 K = 3227.1 meV per atom



Na5Tl5Sn2 | PBE | relaxed

Structure (extended XYZ):
```
12
Lattice="4.836 0.000 1.033 2.256 6.927 1.273 0.334 1.184 10.271" Properties=species:S:1:pos:R:3 pbc="T T T"
Na 3.713 4.056 6.288
Na 2.710 3.468 10.985
Na 4.161 6.662 4.194
Na 3.266 1.450 8.383
Na 4.716 4.644 1.591
Tl 6.092 6.313 6.985
Tl 3.142 5.980 8.962
Tl 4.284 2.131 3.614
Tl 1.334 1.798 5.591
Tl 0.000 0.000 0.000
Sn 5.622 3.877 9.190
Sn 1.805 4.235 3.387
```

Calculated values
Formation enthalpy at 0 K = -117.2 meV per atom



BRh3 | PBE | relaxed

Structure (extended XYZ):
```
4
Lattice="2.812 0.000 0.000 0.000 4.665 0.000 -1.406 -2.333 3.815" Properties=species:S:1:pos:R:3 pbc="T T T"
B 0.000 0.197 0.000
Rh 0.000 1.731 2.393
Rh 1.406 1.785 0.000
Rh 1.406 -0.602 1.422
```

Calculated values
Formation enthalpy at 0 K = -149.8 meV per atom